(1)
A relaxed Er4RhAu crystal, computed with PBE.

Properties
Polymorph energy (0 for the lowest one) (meV per atom): 0.0
Formation energy from the elements (kcal/mol of atoms): -14.3
Spin magnetization (μB per atom): 0.000

Unit cell a=8.1751 b=4.7565 c=15.5277 alpha=90.00 beta=90.00 gamma=90.00
With the nearest neighbours (Å) after each atom.
Fractional positions:
Er1 0.0308 0.2500 0.0786  1 Rh 2.78, 1 Au 2.90
Er2 0.0853 0.2500 0.7767  2 Rh 2.91, 1 Au 2.94
Er3 0.1294 0.2500 0.3372  2 Rh 2.68-2.76, 2 Au 2.99
Er4 0.1510 0.2500 0.5652  2 Rh 3.04, 3 Au 3.14-3.15, 1 Er 3.33
Er5 0.3490 0.7500 0.0652  2 Rh 3.04, 3 Au 3.14-3.15, 1 Er 3.33
Er6 0.3706 0.7500 0.8372  2 Rh 2.68-2.76, 2 Au 2.99
Er7 0.4147 0.7500 0.2767  2 Rh 2.91, 1 Au 2.94
Er8 0.4692 0.7500 0.5786  1 Rh 2.78, 1 Au 2.90
Er9 0.5308 0.2500 0.4214  1 Rh 2.78, 1 Au 2.90
Er10 0.5853 0.2500 0.7233  2 Rh 2.91, 1 Au 2.94
Er11 0.6294 0.2500 0.1628  2 Rh 2.68-2.76, 2 Au 2.99
Er12 0.6510 0.2500 0.9348  2 Rh 3.04, 3 Au 3.14-3.15, 1 Er 3.33
Er13 0.8490 0.7500 0.4348  2 Rh 3.04, 3 Au 3.14-3.15, 1 Er 3.33
Er14 0.8706 0.7500 0.6629  2 Rh 2.68-2.76, 2 Au 2.99
Er15 0.9147 0.7500 0.2233  2 Rh 2.91, 1 Au 2.94
Er16 0.9692 0.7500 0.9214  1 Rh 2.78, 1 Au 2.90
Rh1 0.1954 0.7500 0.6852  5 Er 2.68-2.91
Rh2 0.3046 0.2500 0.1852  5 Er 2.68-2.91
Rh3 0.6954 0.7500 0.8148  5 Er 2.68-2.91
Rh4 0.8046 0.2500 0.3148  5 Er 2.68-2.91
Au1 0.2326 0.7500 0.4398  7 Er 2.90-3.15
Au2 0.2674 0.2500 0.9398  7 Er 2.90-3.15
Au3 0.7326 0.7500 0.0602  7 Er 2.90-3.15
Au4 0.7674 0.2500 0.5602  7 Er 2.90-3.15

***

(2)
A relaxed SrFe2W crystal, computed with PBE.

Properties
Polymorph energy (0 for the lowest one) (meV per atom): 404.4
Formation energy from the elements (kcal/mol of atoms): 21.0
Spin magnetization (μB per atom): 0.828

Unit cell a=5.7934 b=5.7934 c=5.7934 alpha=152.36 beta=129.19 gamma=58.82
With the nearest neighbours (Å) after each atom.
Fractional positions:
Sr1 0.0000 0.0000 0.0000  2 Sr 2.77, 4 Fe 2.85
Fe1 0.5184 0.5184 0.0000  2 Fe 2.42, 2 W 2.63
Fe2 0.7157 0.2157 0.5000  2 Fe 2.42
W1 0.2970 0.7970 0.5000  2 Fe 2.63, 2 W 2.77

***

(3)
A relaxed Cs4Rb2BeSb2 crystal, computed with PBE.

Properties
E_form (uncorrected) (meV per atom): -174
Spin magnetization (μB per atom): 0.000

Unit cell a=10.7072 b=10.7072 c=6.3113 alpha=106.46 beta=106.46 gamma=80.52
With the nearest neighbours (Å) after each atom.
Fractional positions:
Cs1 0.0470 0.7210 0.5785  1 Be 3.47, 1 Sb 3.87
Cs2 0.2790 0.9530 0.4215  1 Be 3.47, 1 Sb 3.87
Cs3 0.7210 0.0470 0.5785  1 Be 3.47, 1 Sb 3.87
Cs4 0.9530 0.2790 0.4215  1 Be 3.47, 1 Sb 3.87
Rb1 0.3652 0.3652 0.1281  1 Sb 3.62
Rb2 0.6348 0.6348 0.8719  1 Sb 3.62
Be1 0.0000 0.0000 0.0000  2 Sb 2.28
Sb1 0.1272 0.1272 0.9289  1 Be 2.28
Sb2 0.8728 0.8728 0.0711  1 Be 2.28

***

(4)
A relaxed AcPmCuHg crystal, computed with PBE.

Properties
Formation energy from the elements (kcal/mol of atoms): -5.7
Spin magnetization (μB per atom): 0.000

Unit cell a=5.4231 b=5.4231 c=5.4231 alpha=60.00 beta=60.00 gamma=60.00
With the nearest neighbours (Å) after each atom.
Fractional positions:
Ac1 0.0000 0.0000 0.0000  4 Hg 3.32, 4 Cu 3.32
Pm1 0.5000 0.5000 0.5000  4 Hg 3.32, 4 Cu 3.32
Cu1 0.7500 0.7500 0.7500  4 Ac 3.32, 4 Pm 3.32
Hg1 0.2500 0.2500 0.2500  4 Ac 3.32, 4 Pm 3.32

***

no.,VASP energy (eV/atom),N(E_F) (states/eV per cell)
1,-5.43,26.27
2,-6.98,4.36
3,-2.10,2.94
4,-3.56,3.08